# 1
DFT (PBE-GGA) results for a geometry-optimized KLi2MoPb structure.

formation enthalpy at 0 K: 3.31 eV per formula unit
DOS(E_F): 2.77 states/eV/cell
space group: P4/mmm

Unit cell a=5.421 b=5.421 c=5.511 alpha=90.00 beta=90.00 gamma=90.00
Atoms (fractional coordinates):
K1 0.000 0.000 0.000
Li1 0.000 0.500 0.500
Li2 0.500 0.000 0.500
Mo1 0.500 0.500 0.000
Pb1 0.500 0.500 0.500

=====

# 2
DFT (PBE-GGA) results for a geometry-optimized K2LiMoPb structure.

formation enthalpy at 0 K: 6.04 eV per formula unit
DOS(E_F): 3.80 states/eV/cell
space group: P4/mmm

Unit cell a=6.503 b=6.503 c=5.232 alpha=90.00 beta=90.00 gamma=90.00
Atoms (fractional coordinates):
K1 0.000 0.500 0.000
K2 0.500 0.000 0.000
Li1 0.000 0.000 0.500
Mo1 0.000 0.000 0.000
Pb1 0.500 0.500 0.500

=====

# 3
DFT (PBE-GGA) results for a geometry-optimized KLiMoRu2 structure.

formation enthalpy at 0 K: 6.82 eV per formula unit
DOS(E_F): 4.89 states/eV/cell
space group: P4/mmm

Unit cell a=4.667 b=4.667 c=5.872 alpha=90.00 beta=90.00 gamma=90.00
Atoms (fractional coordinates):
K1 0.000 0.000 0.000
Li1 0.500 0.500 0.000
Mo1 0.000 0.000 0.500
Ru1 0.000 0.500 0.500
Ru2 0.500 0.000 0.500

=====

# 4
DFT (PBE-GGA) results for a geometry-optimized KLiMoS4 structure.

formation energy without anion corrections: -0.86 eV/atom
space group: P2_1/m

Unit cell a=6.047 b=7.485 c=8.981 alpha=90.00 beta=105.57 gamma=90.00
Atoms (fractional coordinates):
K1 0.235 0.250 0.393
K2 0.765 0.750 0.607
Li1 0.202 0.250 0.836
Li2 0.798 0.750 0.164
Mo1 0.313 0.750 0.206
Mo2 0.687 0.250 0.794
S1 0.049 0.750 0.985
S2 0.142 0.750 0.396
S3 0.464 0.014 0.778
S4 0.464 0.486 0.778
S5 0.536 0.514 0.222
S6 0.536 0.986 0.222
S7 0.858 0.250 0.604
S8 0.951 0.250 0.015

=====

# 5
DFT (PBE-GGA) results for a geometry-optimized KLiSnMo2 structure.

formation enthalpy at 0 K: 7.19 eV per formula unit
DOS(E_F): 2.94 states/eV/cell
space group: P4/mmm

Unit cell a=4.829 b=4.829 c=4.778 alpha=90.00 beta=90.00 gamma=90.00
Atoms (fractional coordinates):
K1 0.000 0.000 0.000
Li1 0.500 0.500 0.500
Sn1 0.500 0.500 0.000
Mo1 0.000 0.500 0.500
Mo2 0.500 0.000 0.500

=====

# 6
DFT (PBE-GGA) results for a geometry-optimized KLiTi2Mo structure.

formation enthalpy at 0 K: 11.55 eV per formula unit
DOS(E_F): 4.97 states/eV/cell
space group: P4/mmm

Unit cell a=4.582 b=4.582 c=4.589 alpha=90.00 beta=90.00 gamma=90.00
Atoms (fractional coordinates):
K1 0.000 0.000 0.000
Li1 0.500 0.500 0.500
Ti1 0.000 0.500 0.000
Ti2 0.500 0.000 0.000
Mo1 0.000 0.000 0.500

=====

| no. | calculated volume (Å³ per cell) | total DFT energy (no corrections) (eV per atom) |
| --- | --- | --- |
| 1 | 162.0 | -3.2319 |
| 2 | 221.3 | -2.5223 |
| 3 | 127.9 | -5.1154 |
| 4 | 391.6 | -5.1979 |
| 5 | 111.4 | -4.2966 |
| 6 | 96.3 | -3.6155 |